A plane-wave DFT calculation with PBE was carried out for a relaxed structure of NaZn4Ag8.

The space group is I4/mmm (No. 139) and the conventional cell measures 9.367, 9.367 and 5.313 Å, with angles of 90.00, 90.00 and 90.00 degrees. The distinct sites, in fractional coordinates, are Na at (0.000, 0.000, 0.000), Zn at (0.250, 0.250, 0.250), Ag at (0.000, 0.218, 0.500) and Ag at (0.000, 0.347, 0.000).

The calculation puts the total energy at -2.295 eV/atom. Its formation enthalpy at 0 K is -0.047 eV per atom.